1.
Compound: VCuAg
Source: Alexandria via LeMat-Bulk
Functional: PBE
Structure: relaxed Values from VASP.

- Relative energy among the computed polymorphs: 0.57 eV/f.u.
- Space group: P1
- ΔE_f: 0.989 eV/f.u.

Quantum ESPRESSO input file:
```
&SYSTEM
  ibrav = 0, nat = 6, ntyp = 3
/
ATOMIC_SPECIES
V 50.94 V.upf
Cu 63.55 Cu.upf
Ag 107.87 Ag.upf
ATOMIC_POSITIONS crystal
V 0.0000 0.0000 0.0000
V 0.3500 0.0960 0.6904
Cu 0.4581 0.7851 0.3255
Cu 0.9590 0.6758 0.6670
Ag 0.4430 0.4387 0.9867
Ag 0.8852 0.3370 0.3585
CELL_PARAMETERS angstrom
4.6037 0.0000 0.0000
0.6866 4.6269 0.0000
0.8502 2.1869 4.2150
```

=====

2.
Compound: DyYB12
Source: Alexandria via LeMat-Bulk
Functional: PBE
Structure: relaxed Values from VASP.

- Space group: P4/mmm
- ΔE_f: -5.596 eV/f.u.

Quantum ESPRESSO input file:
```
&SYSTEM
  ibrav = 0, nat = 14, ntyp = 3
/
ATOMIC_SPECIES
Dy 162.50 Dy.upf
Y 88.91 Y.upf
B 10.81 B.upf
ATOMIC_POSITIONS crystal
Dy 0.0000 0.0000 0.0000
Y 0.0000 0.0000 0.5000
B 0.1989 0.5000 0.2497
B 0.1989 0.5000 0.7503
B 0.5000 0.1989 0.2497
B 0.5000 0.1989 0.7503
B 0.5000 0.5000 0.0993
B 0.5000 0.5000 0.4005
B 0.5000 0.5000 0.5995
B 0.5000 0.5000 0.9007
B 0.5000 0.8011 0.2497
B 0.5000 0.8011 0.7503
B 0.8011 0.5000 0.2497
B 0.8011 0.5000 0.7503
CELL_PARAMETERS angstrom
4.0974 0.0000 0.0000
0.0000 4.0974 0.0000
0.0000 0.0000 8.1989
```

=====

3.
Compound: Mg2ScBi
Source: Alexandria via LeMat-Bulk
Functional: PBE
Structure: relaxed Values from VASP.

- Space group: R-3m
- ΔE_f: 0.169 eV/f.u.

Quantum ESPRESSO input file:
```
&SYSTEM
  ibrav = 0, nat = 12, ntyp = 3
/
ATOMIC_SPECIES
Mg 24.30 Mg.upf
Sc 44.96 Sc.upf
Bi 208.98 Bi.upf
ATOMIC_POSITIONS crystal
Mg 0.0000 0.0000 0.0897
Mg 0.0000 0.0000 0.9103
Mg 0.3333 0.6667 0.5770
Mg 0.3333 0.6667 0.7564
Mg 0.6667 0.3333 0.2436
Mg 0.6667 0.3333 0.4230
Sc 0.0000 0.0000 0.5000
Sc 0.3333 0.6667 0.1667
Sc 0.6667 0.3333 0.8333
Bi 0.0000 0.0000 0.0000
Bi 0.3333 0.6667 0.6667
Bi 0.6667 0.3333 0.3333
CELL_PARAMETERS angstrom
3.3660 0.0000 0.0000
-1.6830 2.9150 0.0000
0.0000 0.0000 33.0738
```

=====

4.
Compound: Pm2PaMn2N6
Source: Alexandria via LeMat-Bulk
Functional: PBE
Structure: relaxed Values from VASP.

- Formation energy without anion corrections: -815 meV/atom
- Space group: R-3m

Quantum ESPRESSO input file:
```
&SYSTEM
  ibrav = 0, nat = 11, ntyp = 4
/
ATOMIC_SPECIES
Pm 145.00 Pm.upf
Pa 231.04 Pa.upf
Mn 54.94 Mn.upf
N 14.01 N.upf
ATOMIC_POSITIONS crystal
Pm 0.2086 0.2086 0.2086
Pm 0.7914 0.7914 0.7914
Pa 0.0000 0.0000 0.0000
Mn 0.4038 0.4038 0.4038
Mn 0.5962 0.5962 0.5962
N 0.2302 0.7437 0.7437
N 0.2563 0.2563 0.7698
N 0.2563 0.7698 0.2563
N 0.7437 0.2302 0.7437
N 0.7437 0.7437 0.2302
N 0.7698 0.2563 0.2563
CELL_PARAMETERS angstrom
2.8148 1.6251 5.8167
-2.8148 1.6251 5.8167
0.0000 -3.2502 5.8167
```

=====

5.
Compound: AcPm4Nd
Source: Alexandria via LeMat-Bulk
Functional: PBE
Structure: relaxed Values from VASP.

- Relative energy among the computed polymorphs: 1.36 eV/f.u.
- Space group: Cmcm
- ΔE_f: 1.529 eV/f.u.

Quantum ESPRESSO input file:
```
&SYSTEM
  ibrav = 0, nat = 12, ntyp = 3
/
ATOMIC_SPECIES
Ac 227.00 Ac.upf
Pm 145.00 Pm.upf
Nd 144.24 Nd.upf
ATOMIC_POSITIONS crystal
Ac 0.0000 0.0000 0.0000
Ac 0.0000 0.0000 0.5000
Pm 0.1711 0.3457 0.2500
Pm 0.3355 0.6645 0.5760
Pm 0.3355 0.6645 0.9240
Pm 0.3457 0.1711 0.7500
Pm 0.6543 0.8289 0.2500
Pm 0.6645 0.3355 0.0760
Pm 0.6645 0.3355 0.4240
Pm 0.8289 0.6543 0.7500
Nd 0.1722 0.8278 0.2500
Nd 0.8278 0.1722 0.7500
CELL_PARAMETERS angstrom
3.3487 -5.7994 0.0000
3.3487 5.7994 0.0000
0.0000 0.0000 11.3646
```

=====

6.
Compound: YTa2TiTe
Source: Alexandria via LeMat-Bulk
Functional: PBE
Structure: relaxed Values from VASP.

- Formation energy without anion corrections: 902 meV/atom
- Space group: P4/mmm

Quantum ESPRESSO input file:
```
&SYSTEM
  ibrav = 0, nat = 5, ntyp = 4
/
ATOMIC_SPECIES
Y 88.91 Y.upf
Ta 180.95 Ta.upf
Ti 47.87 Ti.upf
Te 127.60 Te.upf
ATOMIC_POSITIONS crystal
Y 0.0000 0.0000 0.0000
Ta 0.0000 0.5000 0.5000
Ta 0.5000 0.0000 0.5000
Ti 0.0000 0.0000 0.5000
Te 0.5000 0.5000 0.0000
CELL_PARAMETERS angstrom
4.6819 0.0000 0.0000
0.0000 4.6819 0.0000
0.0000 0.0000 5.7229
```

=====

no.,theoretical density (g cm⁻³)
1,8.225
2,4.598
3,4.644
4,7.437
5,7.157
6,8.290